DFT (PBE) results for crystalline La3PmPt3 at its relaxed geometry.

a = 7.249 Å, b = 7.249 Å, c = 7.476 Å
α = 90.45°, β = 90.45°, γ = 98.94°
Atoms (fractional coordinates):
La1 0.179 0.821 0.000
La2 0.245 0.755 0.500
La3 0.338 0.338 0.132
La4 0.662 0.662 0.868
La5 0.755 0.245 0.500
La6 0.821 0.179 0.000
Pm1 0.255 0.255 0.626
Pm2 0.745 0.745 0.374
Pt1 0.019 0.497 0.778
Pt2 0.061 0.061 0.307
Pt3 0.497 0.019 0.778
Pt4 0.503 0.981 0.222
Pt5 0.939 0.939 0.693
Pt6 0.981 0.503 0.222

## Properties
Its space group is C2/m (12). The calculation puts the volume at 27.72 Å³ per atom. Its formation energy is -0.942 eV/atom.

DFT (PBE) results for crystalline LaDy7Er3 at its relaxed geometry.

a = 7.055 Å, b = 7.055 Å, c = 8.596 Å
α = 90.00°, β = 90.00°, γ = 120.00°
Atoms (fractional coordinates):
La1 0.000 0.000 0.000
Dy1 0.166 0.331 0.331
Dy2 0.166 0.834 0.331
Dy3 0.501 0.003 0.996
Dy4 0.501 0.499 0.996
Dy5 0.667 0.333 0.327
Dy6 0.669 0.834 0.331
Dy7 0.997 0.499 0.996
Er1 0.335 0.168 0.660
Er2 0.832 0.168 0.660
Er3 0.832 0.665 0.660

## Properties
Its space group is P3m1 (156). The calculation puts the volume at 33.69 Å³ per atom. Its formation energy is 0.202 eV/atom.

DFT (PBE) results for crystalline Ge2AsC at its relaxed geometry.

a = 4.494 Å, b = 4.494 Å, c = 4.494 Å
α = 60.00°, β = 60.00°, γ = 60.00°
Atoms (fractional coordinates):
Ge1 0.250 0.250 0.250
Ge2 0.750 0.750 0.750
As1 0.000 0.000 0.000
C1 0.500 0.500 0.500

## Properties
Its space group is Fm-3m (225). The calculation puts the volume at 16.05 Å³ per atom. Its formation energy is 1.418 eV/atom.

DFT (PBE) results for crystalline Tl2InCo at its relaxed geometry.

a = 9.374 Å, b = 9.374 Å, c = 9.374 Å
α = 21.07°, β = 21.07°, γ = 21.07°
Atoms (fractional coordinates):
Tl1 0.000 0.000 0.000
Tl2 0.230 0.230 0.230
In1 0.465 0.465 0.465
Co1 0.735 0.735 0.735

## Properties
Its space group is R3m (160). The calculation puts the volume at 23.32 Å³ per atom. Its formation energy is 0.317 eV/atom.